# Ba2SrGe3Au12

An optimized crystal structure of Ba2SrGe3Au12 (PBE, the Alexandria database).

calculated total energy: -184.179 eV for the cell shown
crystal system: trigonal
total magnetization: 0.00 μB/f.u.
D(E_F): 5.9 states/eV/f.u.

Cell: 9.2290 9.2290 20.1995 Å, 90.00 90.00 120.00°
Space group R-3m (No. 166, hexagonal axes)
One atom of each set of equivalent atoms:
Ba (0.0000, 0.0000, 0.1029) (multiplicity 6)
Sr (0.0000, 0.0000, 0.5000) (multiplicity 3)
Ge (0.0000, 0.5000, 0.0000) (multiplicity 9)
Au (0.0238, 0.5119, 0.3323) (multiplicity 18)
Au (0.0249, 0.5125, 0.8728) (multiplicity 18)